{"formula": "Ho2Be4Ni5", "functional": "PBE-GGA", "state": "optimized geometry", "cell": [[0.0000, 4.2969, 6.4909], [2.5514, 0.0000, 6.4909], [2.5514, 4.2969, 0.0000]], "species": ["Ho", "Ho", "Be", "Be", "Be", "Be", "Ni", "Ni", "Ni", "Ni", "Ni"], "fractional_positions": [[0.1339, 0.1339, 0.8661], [0.8661, 0.8661, 0.1339], [0.2138, 0.5286, 0.4714], [0.4714, 0.7862, 0.2138], [0.5286, 0.2138, 0.7862], [0.7862, 0.4714, 0.5286], [0.0000, 0.0000, 0.5000], [0.2500, 0.2500, 0.2500], [0.5000, 0.5000, 0.0000], [0.5000, 0.5000, 0.5000], [0.7500, 0.7500, 0.7500]], "ef_ev_per_fu": -4.471, "space_group": "Fmmm (69)", "crystal_system": "orthorhombic", "total_energy_ev_per_atom": -5.2216}